(1)
Material: CoNiMo2Pb
Method: DFT, PBE
State: optimized geometry

Lattice parameters (Å, degrees): 4.533 4.533 4.729 90.00 90.00 90.00
Atoms (fractional coordinates):
Co (0.000, 0.000, 0.000)
Ni (0.500, 0.500, 0.500)
Mo (0.000, 0.500, 0.500)
Mo (0.500, 0.000, 0.500)
Pb (0.500, 0.500, 0.000)

Output
Mass density = 8.8 g cm⁻³
E = -0.22380 hartree per atom
Energy relative to the elements = 150.7 kJ per mole of atoms
Space-group type = P4/mmm (123)
Magnetization = 3.3 μB/f.u.



(2)
Material: CoNiMo2Pt
Method: DFT, PBE
State: optimized geometry

Lattice parameters (Å, degrees): 4.743 4.743 4.535 90.00 90.00 90.00
Atoms (fractional coordinates):
Co (0.000, 0.000, 0.000)
Ni (0.500, 0.500, 0.000)
Mo (0.000, 0.500, 0.500)
Mo (0.500, 0.000, 0.500)
Pt (0.500, 0.500, 0.500)

Output
Mass density = 8.2 g cm⁻³
E = -0.23017 hartree per atom
Energy relative to the elements = 179.0 kJ per mole of atoms
Space-group type = P4/mmm (123)
Magnetization = 1.9 μB/f.u.



(3)
Material: CoNiMoPt
Method: DFT, PBE
State: optimized geometry

Lattice parameters (Å, degrees): 4.211 4.211 4.211 60.00 60.00 60.00
Atoms (fractional coordinates):
Co (0.000, 0.000, 0.000)
Ni (0.500, 0.500, 0.500)
Mo (0.750, 0.750, 0.750)
Pt (0.250, 0.250, 0.250)

Output
Mass density = 12.8 g cm⁻³
E = -0.27408 hartree per atom
Energy relative to the elements = -1.8 kJ per mole of atoms
Space-group type = F-43m (216)
Magnetization = 1.2 μB/f.u.



(4)
Material: CoRe2NiMo
Method: DFT, PBE
State: optimized geometry

Lattice parameters (Å, degrees): 4.376 4.376 4.362 90.00 90.00 90.00
Atoms (fractional coordinates):
Co (0.000, 0.000, 0.000)
Re (0.000, 0.500, 0.000)
Re (0.500, 0.000, 0.000)
Ni (0.500, 0.500, 0.500)
Mo (0.000, 0.000, 0.500)

Output
Mass density = 11.6 g cm⁻³
E = -0.29933 hartree per atom
Energy relative to the elements = 152.2 kJ per mole of atoms
Space-group type = P4/mmm (123)
Magnetization = 0.0 μB/f.u.



(5)
Material: CoNiMoRu
Method: DFT, PBE
State: optimized geometry

Lattice parameters (Å, degrees): 4.190 4.190 4.190 60.00 60.00 60.00
Atoms (fractional coordinates):
Co (0.000, 0.000, 0.000)
Ni (0.250, 0.250, 0.250)
Mo (0.750, 0.750, 0.750)
Ru (0.500, 0.500, 0.500)

Output
Mass density = 10.0 g cm⁻³
E = -0.29732 hartree per atom
Energy relative to the elements = 15.2 kJ per mole of atoms
Space-group type = F-43m (216)
Magnetization = 0.7 μB/f.u.



(6)
Material: CoNiMoS2
Method: DFT, PBE
State: optimized geometry

Lattice parameters (Å, degrees): 4.334 4.334 4.235 90.00 90.00 90.00
Atoms (fractional coordinates):
Co (0.000, 0.000, 0.000)
Ni (0.000, 0.000, 0.500)
Mo (0.500, 0.500, 0.500)
S (0.000, 0.500, 0.000)
S (0.500, 0.000, 0.000)

Output
Mass density = 5.8 g cm⁻³
E = -0.20527 hartree per atom
Space-group type = P4/mmm (123)
Magnetization = 4.3 μB/f.u.
E_form (uncorrected) = 0.81 eV per atom